A relaxed Pr5Hg2Cl crystal, computed with PBE.

Structure (CIF):
```
data_Pr5Hg2Cl
_symmetry_space_group_name_H-M 'P 1'
_symmetry_Int_Tables_number 1
_cell_length_a 9.6300
_cell_length_b 8.0843
_cell_length_c 12.5898
_cell_angle_alpha 90.00
_cell_angle_beta 90.00
_cell_angle_gamma 90.00
loop_
_symmetry_equiv_pos_as_xyz
'x,y,z'
loop_
_atom_site_label
_atom_site_fract_x
_atom_site_fract_y
_atom_site_fract_z
_atom_site_occupancy
Cl1 0.0002 0.2500 0.9999 1
Cl2 0.9998 0.7500 0.0001 1
Cl3 0.4998 0.2500 0.4999 1
Cl4 0.5002 0.7500 0.5001 1
Hg1 0.1024 0.9984 0.3169 1
Hg2 0.6024 0.4984 0.1831 1
Hg3 0.1024 0.5016 0.3169 1
Hg4 0.3976 0.5016 0.8169 1
Hg5 0.3976 0.9984 0.8169 1
Hg6 0.8976 0.4984 0.6831 1
Hg7 0.6024 0.0016 0.1831 1
Hg8 0.8976 0.0016 0.6831 1
Pr1 0.4993 0.2500 0.9992 1
Pr2 0.0007 0.2500 0.4992 1
Pr3 0.1992 0.9998 0.0642 1
Pr4 0.3684 0.2500 0.2907 1
Pr5 0.3008 0.9998 0.5642 1
Pr6 0.9993 0.7500 0.5008 1
Pr7 0.8008 0.4998 0.9358 1
Pr8 0.6303 0.2500 0.7094 1
Pr9 0.6316 0.7500 0.7093 1
Pr10 0.8684 0.7500 0.2093 1
Pr11 0.8697 0.2500 0.2094 1
Pr12 0.1303 0.7500 0.7906 1
Pr13 0.1316 0.2500 0.7907 1
Pr14 0.8008 0.0002 0.9358 1
Pr15 0.5007 0.7500 0.0008 1
Pr16 0.6992 0.4998 0.4358 1
Pr17 0.6992 0.0002 0.4358 1
Pr18 0.3697 0.7500 0.2906 1
Pr19 0.3008 0.5002 0.5642 1
Pr20 0.1992 0.5002 0.0642 1
```

Computed properties:
The uncorrected formation energy comes out at -604 meV/atom. The value obtained for the total energy is -124.72 eV/cell.

***

A relaxed PrPuTl crystal, computed with PBE.

Structure (CIF):
```
data_PrPuTl
_symmetry_space_group_name_H-M 'P 1'
_symmetry_Int_Tables_number 1
_cell_length_a 3.5214
_cell_length_b 5.3893
_cell_length_c 5.3893
_cell_angle_alpha 120.00
_cell_angle_beta 90.00
_cell_angle_gamma 90.00
loop_
_symmetry_equiv_pos_as_xyz
'x,y,z'
loop_
_atom_site_label
_atom_site_fract_x
_atom_site_fract_y
_atom_site_fract_z
_atom_site_occupancy
Pr1 0.6509 0.3333 0.6667 1
Tl1 0.3048 0.6667 0.3333 1
Pu1 0.0443 0.0000 0.0000 1
```

Computed properties:
As for the formation enthalpy at 0 K: 0.0120 eV/atom. The excess energy over the best structure of this formula in the dataset is 10.7 kJ/mol of formula units. The value obtained for the total energy is -21.44 eV/cell.

***

DOS at the Fermi energy list, top to bottom, in states/eV/cell: 33.1, 7.8